Material: Sm5Cd2Pb
Method: DFT, GGA-PBE
State: relaxed

The structure belongs to space group I4/mcm (No. 140); the cell edges are 8.563, 8.563 and 13.219 Å and the angles 90.00°, 90.00° and 90.00°. The distinct sites, in fractional coordinates, are Sm at (0.000, 0.000, 0.000), Sm at (0.155, 0.345, 0.151), Cd at (0.137, 0.363, 0.500) and Pb at (0.000, 0.000, 0.250).

The calculation puts the energy of formation from the pure elements at -290 meV/atom. Its total energy is -3.93 eV per atom. Its crystal system is tetragonal. Its total magnetization is 0.00 μB/cell.



Material: Sm4Cd3Pb
Method: DFT, GGA-PBE
State: relaxed

The structure belongs to space group Pmmm (No. 47); the cell edges are 3.853, 5.387 and 10.891 Å and the angles 90.00°, 90.00° and 90.00°. The distinct sites, in fractional coordinates, are Sm at (0.000, 0.000, 0.000), Sm at (0.000, 0.000, 0.500), Sm at (0.000, 0.500, 0.246), Cd at (0.500, 0.000, 0.241), Cd at (0.500, 0.500, 0.000) and Pb at (0.500, 0.500, 0.500).

The calculation puts the energy of formation from the pure elements at -363 meV/atom. Its total energy is -3.53 eV per atom. Its crystal system is orthorhombic. Its total magnetization is 0.01 μB/cell.



Material: SmCdSnPb
Method: DFT, GGA-PBE
State: relaxed

The structure belongs to space group Pmmm (No. 47); the cell edges are 4.541, 4.825 and 4.850 Å and the angles 90.00°, 90.00° and 90.00°. The distinct sites, in fractional coordinates, are Sm at (0.000, 0.000, 0.000), Cd at (0.000, 0.500, 0.500), Sn at (0.500, 0.500, 0.000) and Pb at (0.500, 0.000, 0.500).

The calculation puts the energy of formation from the pure elements at -423 meV/atom. Its total energy is -3.76 eV per atom. Its crystal system is orthorhombic. Its total magnetization is 0.00 μB/cell.



Material: SmThCdPb
Method: DFT, GGA-PBE
State: relaxed

The structure belongs to space group F-43m (No. 216); the cell edges are 7.760, 7.760 and 7.760 Å and the angles 90.00°, 90.00° and 90.00°. The distinct sites, in fractional coordinates, are Sm at (0.000, 0.000, 0.000), Th at (0.000, 0.000, 0.500), Cd at (0.250, 0.250, 0.750) and Pb at (0.250, 0.250, 0.250).

The calculation puts the energy of formation from the pure elements at -246 meV/atom. Its total energy is -4.44 eV per atom. Its crystal system is cubic. Its total magnetization is 0.00 μB/cell.



Material: SmTlCdPb
Method: DFT, GGA-PBE
State: relaxed

The structure belongs to space group Pmmm (No. 47); the cell edges are 4.603, 4.745 and 4.968 Å and the angles 90.00°, 90.00° and 90.00°. The distinct sites, in fractional coordinates, are Sm at (0.000, 0.000, 0.000), Tl at (0.500, 0.000, 0.500), Cd at (0.000, 0.500, 0.500) and Pb at (0.500, 0.500, 0.000).

The calculation puts the energy of formation from the pure elements at -339 meV/atom. Its total energy is -3.27 eV per atom. Its crystal system is orthorhombic. Its total magnetization is 0.00 μB/cell. For the offset from the most stable computed form, the calculation gives 0 kJ/mol of formula units.



Material: SmTlCdPb
Method: DFT, GGA-PBE
State: relaxed

The structure belongs to space group F-43m (No. 216); the cell edges are 7.655, 7.655 and 7.655 Å and the angles 90.00°, 90.00° and 90.00°. The distinct sites, in fractional coordinates, are Sm at (0.000, 0.000, 0.000), Tl at (0.250, 0.250, 0.250), Cd at (0.000, 0.000, 0.500) and Pb at (0.250, 0.250, 0.750).

The calculation puts the energy of formation from the pure elements at -166 meV/atom. Its total energy is -3.09 eV per atom. Its crystal system is cubic. Its total magnetization is 0.00 μB/cell. For the offset from the most stable computed form, the calculation gives 66 kJ/mol of formula units.



The highest energy of formation from the pure elements belongs to which entry?
number 6